## 1
PBE with a Hubbard U V3OF11, relaxed; space-group type = P-1
1.0
5.182 -0.009 0.005
0.143 5.344 0.011
0.089 2.703 15.091
F V O
22 6 2
direct
0.917 0.897 0.113
0.687 0.153 0.310
0.810 0.657 0.303
0.309 0.515 0.356
0.098 0.690 0.555
0.313 0.847 0.690
0.083 0.103 0.887
0.908 0.648 0.778
0.600 0.115 0.778
0.190 0.343 0.697
0.092 0.352 0.222
0.581 0.486 0.114
0.814 0.990 0.635
0.691 0.485 0.644
0.902 0.310 0.445
0.250 0.232 0.035
0.750 0.768 0.965
0.419 0.514 0.886
0.400 0.885 0.222
0.597 0.786 0.445
0.186 0.010 0.365
0.403 0.214 0.555
0.498 0.834 0.334
0.502 0.166 0.666
0.500 0.500 0.000
0.002 0.666 0.667
0.998 0.334 0.333
0.000 0.000 0.000
0.250 0.746 0.008
0.750 0.254 0.992

***

## 2
PBE with a Hubbard U V3OF11, relaxed; space-group type = Pc
1.0
-0.604 -4.831 -2.038
4.939 -1.397 1.848
-3.587 -5.290 13.601
F V O
22 6 2
direct
0.553 0.808 0.978
0.834 0.861 0.223
0.660 0.775 0.446
0.669 0.119 0.782
0.447 0.308 0.978
0.053 0.685 0.023
0.832 0.203 0.550
0.052 0.352 0.689
0.974 0.530 0.360
0.948 0.852 0.689
0.166 0.361 0.223
0.670 0.453 0.116
0.168 0.703 0.550
0.830 0.538 0.884
0.170 0.038 0.884
0.552 0.473 0.643
0.448 0.973 0.643
0.340 0.275 0.446
0.331 0.619 0.782
0.947 0.185 0.023
0.026 0.030 0.360
0.330 0.953 0.116
0.750 0.163 0.666
0.250 0.663 0.666
0.728 0.897 0.331
0.272 0.397 0.331
0.750 0.497 0.000
0.250 0.997 0.000
0.545 0.146 0.309
0.455 0.646 0.309

***

## 3
PBE with a Hubbard U V3OF11, relaxed; space-group type = P-1
1.0
-5.189 0.910 0.385
-0.709 -5.057 1.945
2.231 7.518 12.786
F O V
22 2 6
direct
0.086 0.891 0.780
0.420 0.042 0.116
0.802 0.809 0.022
0.416 0.708 0.450
0.202 0.876 0.310
0.914 0.790 0.554
0.080 0.543 0.116
0.698 0.310 0.023
0.415 0.376 0.781
0.914 0.109 0.220
0.585 0.624 0.219
0.298 0.019 0.640
0.584 0.292 0.550
0.266 0.379 0.308
0.920 0.457 0.884
0.580 0.958 0.884
0.302 0.690 0.977
0.198 0.191 0.978
0.734 0.621 0.692
0.798 0.124 0.690
0.702 0.981 0.360
0.086 0.210 0.446
0.222 0.539 0.644
0.778 0.461 0.356
0.521 0.314 0.667
0.961 0.214 0.337
0.039 0.786 0.663
0.000 0.500 0.000
0.500 0.000 0.000
0.479 0.686 0.333

***

It is 2 that is most stable; the runner-up trails by 0.7 kJ/mol of atoms.

***

## 1
PBE with a Hubbard U V3OF11, relaxed; space-group type = P1
1.0
-3.861 -0.499 3.453
0.252 -5.823 -1.286
5.477 -1.199 4.772
F V O
11 3 1
direct
0.374 0.136 0.560
0.788 0.167 0.137
0.209 0.850 0.857
0.902 0.756 0.107
0.853 0.248 0.481
0.134 0.729 0.520
0.447 0.437 0.267
0.133 0.264 0.912
0.616 0.846 0.445
0.557 0.573 0.748
0.296 0.025 0.195
0.564 0.175 0.343
0.964 0.007 0.976
0.421 0.818 0.652
0.725 0.985 0.810

***

## 2
PBE with a Hubbard U V3OF11, relaxed; space-group type = P2_1
1.0
5.263 0.000 0.000
0.000 5.461 0.008
0.000 2.665 14.791
F V O
22 6 2
direct
0.774 0.204 0.640
0.918 0.530 0.447
0.926 0.208 0.116
0.708 0.399 0.307
0.205 0.939 0.023
0.705 0.061 0.977
0.208 0.601 0.693
0.092 0.291 0.885
0.595 0.043 0.448
0.207 0.293 0.358
0.812 0.561 0.977
0.096 0.624 0.222
0.312 0.439 0.023
0.420 0.128 0.218
0.596 0.376 0.778
0.592 0.709 0.115
0.426 0.792 0.884
0.418 0.470 0.553
0.095 0.957 0.552
0.707 0.707 0.642
0.274 0.796 0.360
0.920 0.872 0.782
0.986 0.897 0.665
0.486 0.103 0.335
0.008 0.250 0.000
0.468 0.369 0.670
0.508 0.750 0.000
0.968 0.631 0.330
0.286 0.120 0.690
0.786 0.880 0.310

***

## 3
PBE with a Hubbard U V3OF11, relaxed; space-group type = P2_1
1.0
5.291 0.000 0.000
0.000 5.451 0.011
0.000 2.698 14.851
F V O
22 6 2
direct
0.795 0.228 0.644
0.413 0.459 0.551
0.913 0.541 0.449
0.412 0.126 0.218
0.071 0.627 0.218
0.690 0.394 0.311
0.406 0.820 0.890
0.080 0.318 0.887
0.190 0.273 0.356
0.571 0.373 0.782
0.190 0.606 0.689
0.218 0.508 0.026
0.912 0.874 0.782
0.690 0.727 0.644
0.070 0.960 0.551
0.906 0.180 0.110
0.295 0.772 0.356
0.570 0.040 0.449
0.580 0.682 0.113
0.795 0.894 0.311
0.295 0.106 0.689
0.718 0.492 0.974
0.069 0.224 0.006
0.493 0.083 0.333
0.569 0.776 0.994
0.493 0.417 0.667
0.993 0.583 0.333
0.993 0.917 0.667
0.305 0.022 0.025
0.805 0.978 0.975

***

It is 3 that is most stable; the runner-up trails by 0.7 kJ/mol of atoms.

***

## 1
PBE with a Hubbard U V3OF11, relaxed; space-group type = P1
1.0
5.947 0.253 0.370
-0.597 7.231 0.103
-0.882 -0.920 5.099
F O V
11 1 3
direct
0.261 0.529 0.859
0.009 0.178 0.335
0.163 0.178 0.842
0.582 0.734 0.516
0.851 0.452 0.625
0.265 0.931 0.137
0.750 0.085 0.905
0.720 0.469 0.128
0.852 0.818 0.156
0.135 0.553 0.364
0.427 0.282 0.480
0.999 0.826 0.692
0.009 0.978 0.960
0.821 0.636 0.397
0.172 0.359 0.586

***

## 2
PBE with a Hubbard U V3OF11, relaxed; space-group type = P1
1.0
5.228 0.008 0.001
0.015 5.500 -0.007
0.021 2.647 14.787
F V O
22 6 2
direct
0.727 0.546 0.361
0.792 0.355 0.690
0.781 0.041 0.360
0.075 0.623 0.781
0.586 0.871 0.218
0.900 0.704 0.551
0.737 0.212 0.033
0.239 0.284 0.971
0.084 0.277 0.446
0.688 0.856 0.690
0.293 0.475 0.640
0.281 0.139 0.304
0.364 0.464 0.105
0.318 0.808 0.973
0.893 0.028 0.894
0.188 0.973 0.642
0.401 0.128 0.780
0.805 0.691 0.033
0.098 0.951 0.119
0.577 0.203 0.550
0.391 0.787 0.446
0.886 0.369 0.223
0.490 0.165 0.665
0.035 0.998 0.002
0.541 0.500 0.998
0.990 0.665 0.665
0.510 0.848 0.334
0.028 0.376 0.329
0.586 0.544 0.890
0.215 0.620 0.307

***

It is 2 that is most stable; the runner-up trails by 1.0 kJ/mol of atoms.

***

## 1
PBE with a Hubbard U V3O5F, relaxed; space-group type = P1
1.0
5.518 0.030 -0.029
1.582 5.343 -0.054
2.345 1.731 6.581
O V F
10 6 2
direct
0.956 0.363 0.340
0.704 0.305 0.992
0.437 0.428 0.360
0.347 0.950 0.346
0.109 0.106 0.700
0.300 0.711 0.994
0.583 0.576 0.628
0.233 0.225 0.962
0.765 0.768 0.042
0.662 0.020 0.663
0.632 0.676 0.850
0.367 0.319 0.664
0.980 0.025 0.985
0.014 0.023 0.502
0.325 0.326 0.164
0.650 0.642 0.340
0.042 0.635 0.671
0.893 0.902 0.298

***

## 2
PBE with a Hubbard U V3O5F, relaxed; space-group type = P-1
1.0
-3.021 -3.480 -0.115
3.008 -2.757 -3.721
3.957 -3.881 5.312
O V F
10 6 2
direct
0.294 0.964 0.245
0.704 0.370 0.434
0.296 0.630 0.566
0.810 0.199 0.105
0.199 0.129 0.564
0.315 0.303 0.890
0.685 0.697 0.110
0.801 0.871 0.436
0.706 0.036 0.755
0.190 0.801 0.895
0.013 0.846 0.677
0.000 0.500 0.000
0.465 0.313 0.654
0.500 0.000 0.000
0.987 0.154 0.323
0.535 0.687 0.346
0.204 0.462 0.239
0.796 0.538 0.761

***

## 3
PBE with a Hubbard U V3O5F, relaxed; space-group type = P2/m
1.0
-0.017 -2.374 -1.900
1.871 -2.650 3.295
-12.391 -3.841 4.914
O F V
10 2 6
direct
0.500 0.204 0.067
0.000 0.292 0.570
0.500 0.796 0.933
0.500 0.800 0.601
0.000 0.702 0.765
0.000 0.694 0.106
0.500 0.200 0.399
0.000 0.306 0.894
0.000 0.708 0.430
0.000 0.298 0.235
0.500 0.191 0.731
0.500 0.809 0.269
0.500 0.467 0.157
0.500 0.500 0.500
0.500 0.533 0.843
0.000 0.000 0.000
0.000 0.022 0.343
0.000 0.978 0.657

***

It is 3 that is most stable; the runner-up trails by 2.1 kJ/mol of atoms.

***

## 1
PBE with a Hubbard U V3O5F, relaxed; space-group type = P1
1.0
4.693 0.000 -0.003
-0.028 5.554 0.004
-0.039 -0.793 7.467
O V F
10 6 2
direct
0.207 0.693 0.898
0.287 0.860 0.565
0.179 0.371 0.557
0.799 0.960 0.758
0.697 0.115 0.420
0.200 0.036 0.234
0.306 0.202 0.902
0.810 0.311 0.111
0.320 0.544 0.229
0.702 0.476 0.781
0.467 0.846 0.344
0.008 0.673 0.686
0.500 0.485 0.995
0.503 0.165 0.663
0.006 0.317 0.329
0.017 0.010 0.991
0.790 0.630 0.437
0.702 0.805 0.101

***

## 2
PBE with a Hubbard U V3O5F, relaxed; space-group type = P1
1.0
-2.919 -1.666 -3.235
2.006 -5.137 0.662
-5.035 -2.017 5.240
F O V
2 10 6
direct
0.198 0.636 0.565
0.197 0.968 0.228
0.690 0.201 0.111
0.806 0.377 0.437
0.195 0.288 0.910
0.302 0.479 0.234
0.717 0.870 0.426
0.802 0.708 0.098
0.310 0.139 0.552
0.690 0.516 0.780
0.799 0.019 0.771
0.291 0.794 0.902
0.494 0.504 0.998
0.516 0.837 0.670
0.524 0.183 0.339
0.971 0.658 0.321
0.997 0.004 0.984
0.000 0.320 0.674

***

It is 2 that is most stable; the runner-up trails by 1.2 kJ/mol of atoms.